Cu2TeOs: optimized geometry, PBE-GGA.

```
4
Lattice="4.6558 -0.0107 0.0000 -1.7065 4.3317 0.0000 0.0000 0.0000 3.0829" Properties=species:S:1:pos:R:3 pbc="T T T"
Cu 0.0000 0.0000 0.0000
Cu 1.4746 2.1605 0.0000
Os 2.3279 -0.0053 1.5414
Te -0.8533 2.1659 1.5414
```

Formation energy without anion corrections in kJ/mol of formula units: 237



CuTeOs2: optimized geometry, PBE-GGA.

```
4
Lattice="3.5922 0.0000 0.0000 0.0000 4.1446 0.0000 0.0000 0.0000 4.1446" Properties=species:S:1:pos:R:3 pbc="T T T"
Cu 1.7961 0.0000 2.0723
Os 0.0000 0.0000 0.0000
Os 0.0000 2.0723 2.0723
Te 1.7961 2.0723 0.0000
```

Formation energy without anion corrections in kJ/mol of formula units: 314



CuTeOs2: optimized geometry, PBE-GGA.

```
4
Lattice="-0.1584 -2.8518 0.2050 3.3157 -0.0782 1.4745 -2.6331 0.5741 5.9512" Properties=species:S:1:pos:R:3 pbc="T T T"
Cu -0.4901 -1.0140 5.5154
Os -0.0192 0.0042 0.0433
Os 1.0758 -1.3554 1.9763
Te -1.3589 0.2963 3.0714
```

Formation energy without anion corrections in kJ/mol of formula units: 257



CuTe2Os: optimized geometry, PBE-GGA.

```
4
Lattice="-3.8432 -1.5136 -2.1880 2.6511 -3.4224 -2.2890 -0.5842 -2.1195 2.4923" Properties=species:S:1:pos:R:3 pbc="T T T"
Cu -2.2137 -1.8165 0.1522
Os 1.0334 -2.7709 0.1017
Te 0.0000 0.0000 0.0000
Te -0.5961 -2.4680 -2.2385
```

Formation energy without anion corrections in kJ/mol of formula units: 277
Energy above the most stable polymorph in this dataset in meV per atom: 406.1



Cu2TeOs: optimized geometry, PBE-GGA.

```
4
Lattice="-5.6880 -6.3041 3.0965 -3.3360 -7.9867 2.6013 -3.5844 -6.5203 5.1304" Properties=species:S:1:pos:R:3 pbc="T T T"
Cu -12.5056 -20.6416 10.7400
Cu -6.4069 -10.5752 5.5024
Os -3.1521 -5.2028 2.7071
Te -9.4562 -15.6084 8.1212
```

Formation energy without anion corrections in kJ/mol of formula units: 264



Cu2TeOs: optimized geometry, PBE-GGA.

```
4
Lattice="-1.4085 0.9680 -3.9421 -0.7709 -3.0498 -0.4735 -4.1816 0.7947 1.6892" Properties=species:S:1:pos:R:3 pbc="T T T"
Cu -4.1790 0.3947 1.5900
Cu -1.9965 0.3300 -1.5471
Os -2.3863 -1.5442 0.4734
Te -4.4569 -0.8005 -0.9456
```

Formation energy without anion corrections in kJ/mol of formula units: 213



CuTeOs2: optimized geometry, PBE-GGA.

```
8
Lattice="3.9481 0.0000 0.0000 0.0000 3.9481 0.0000 1.9741 1.9741 9.0446" Properties=species:S:1:pos:R:3 pbc="T T T"
Te 0.0000 0.0000 0.0000
Te 3.9481 1.9741 4.5223
Os 2.7139 0.9870 2.2611
Os 1.2342 2.9611 2.2611
Os 2.9611 3.2082 6.7834
Os 4.9351 4.6880 6.7834
Cu 1.9741 1.9741 0.0000
Cu 1.9741 3.9481 4.5223
```

Formation energy without anion corrections in kJ/mol of formula units: 323



CuTeOs2: optimized geometry, PBE-GGA.

```
4
Lattice="-2.4370 1.1514 -1.7072 -1.5038 -2.8022 0.2567 -2.6729 1.9014 5.0981" Properties=species:S:1:pos:R:3 pbc="T T T"
Cu -3.9751 0.6007 3.0983
Os -2.6162 1.8612 4.9901
Os -1.3930 0.9910 2.6570
Te -2.6386 -0.3500 0.5493
```

Formation energy without anion corrections in kJ/mol of formula units: 289